(1)
The following is a PBE calculation of a relaxed AcPrSmPt2 crystal, from the Alexandria database.

It has space group C2/m (No. 12), with a = 15.384 Å, b = 4.645 Å, c = 11.516 Å, α = 90.00°, β = 131.54° and γ = 90.00°. The distinct sites, in fractional coordinates, are Ac at (0.046, 0.000, 0.229), Pr at (0.243, 0.500, 0.129), Sm at (0.132, 0.500, 0.547), Pt at (0.099, 0.500, 0.778) and Pt at (0.233, 0.500, 0.387).

The value obtained for the formation enthalpy at 0 K is -921 meV/atom.


(2)
The following is a PBE calculation of a relaxed KTcPO2 crystal, from the Alexandria database.

It has space group P4/mmm (No. 123), with a = 4.014 Å, b = 4.014 Å, c = 4.746 Å, α = 90.00°, β = 90.00° and γ = 90.00°. The distinct sites, in fractional coordinates, are K at (0.000, 0.000, 0.000), Tc at (0.500, 0.500, 0.500), P at (0.500, 0.500, 0.000) and O at (0.000, 0.500, 0.500).

The calculation puts the formation energy (no corrections) at -63.87 kJ/mol of atoms.


(3)
The following is a PBE calculation of a relaxed NaTe2N2 crystal, from the Alexandria database.

It has space group P4/mmm (No. 123), with a = 4.470 Å, b = 4.470 Å, c = 6.379 Å, α = 90.00°, β = 90.00° and γ = 90.00°. The distinct sites, in fractional coordinates, are Na at (0.000, 0.000, 0.000), Te at (0.000, 0.000, 0.500), Te at (0.500, 0.500, 0.500) and N at (0.000, 0.500, 0.000).

The calculation puts the formation energy (no corrections) at 199.61 kJ/mol of atoms.


(4)
The following is a PBE calculation of a relaxed ScBeIn2 crystal, from the Alexandria database.

It has space group P4/mmm (No. 123), with a = 4.280 Å, b = 4.280 Å, c = 4.237 Å, α = 90.00°, β = 90.00° and γ = 90.00°. The distinct sites, in fractional coordinates, are Sc at (0.000, 0.000, 0.000), Be at (0.500, 0.500, 0.000) and In at (0.000, 0.500, 0.500).

The value obtained for the formation enthalpy at 0 K is -76 meV/atom.


Question: What is the formula in the third record?
Answer: NaTe2N2